DFT (PBE) results for crystalline Ba6Hg2NO at its relaxed geometry.

Cell: 7.8709 7.8709 39.8054 Å, 90.00 90.00 120.00°
Space group R-3m (No. 166, hexagonal axes)
Inequivalent atoms, fractional coordinates:
Ba 0.0052 0.5026 0.2072 (multiplicity 18)
Ba 0.0210 0.5105 0.6246 (multiplicity 18)
Hg 0.0000 0.0000 0.2024 (multiplicity 6)
Hg 0.0000 0.0000 0.3788 (multiplicity 6)
N 0.0000 0.0000 0.0000 (multiplicity 3)
N 0.0000 0.0000 0.5000 (multiplicity 3)
O 0.0000 0.0000 0.0832 (multiplicity 6)

Energy (eV/cell): -198.922
Raw formation energy (kJ/mol of atoms): -74.6


DFT (PBE) results for crystalline BaHgNO2 at its relaxed geometry.

Cell: 4.9619 4.9619 5.6908 Å, 90.00 90.00 90.00°
Space group P4/mmm (No. 123)
Inequivalent atoms, fractional coordinates:
Ba 0.0000 0.0000 0.0000 (multiplicity 1)
Hg 0.5000 0.5000 0.5000 (multiplicity 1)
N 0.0000 0.0000 0.5000 (multiplicity 1)
O 0.0000 0.5000 0.0000 (multiplicity 2)

Energy (eV/cell): -17.607
Raw formation energy (kJ/mol of atoms): 55.2


DFT (PBE) results for crystalline BaHgNO2 at its relaxed geometry.

Cell: 4.4707 4.4707 4.2019 Å, 90.00 90.00 90.00°
Space group P4/mmm (No. 123)
Inequivalent atoms, fractional coordinates:
Ba 0.0000 0.0000 0.0000 (multiplicity 1)
Hg 0.5000 0.5000 0.5000 (multiplicity 1)
N 0.5000 0.5000 0.0000 (multiplicity 1)
O 0.0000 0.5000 0.5000 (multiplicity 2)

Energy (eV/cell): -21.475
Raw formation energy (kJ/mol of atoms): -19.5


DFT (PBE) results for crystalline Ba2HgOsN at its relaxed geometry.

Cell: 5.9031 5.9031 3.8332 Å, 90.00 90.00 90.00°
Space group P4/mmm (No. 123)
Inequivalent atoms, fractional coordinates:
Ba 0.0000 0.5000 0.0000 (multiplicity 2)
Hg 0.0000 0.0000 0.5000 (multiplicity 1)
Os 0.5000 0.5000 0.5000 (multiplicity 1)
N 0.5000 0.5000 0.0000 (multiplicity 1)

Energy (eV/cell): -25.411
Raw formation energy (kJ/mol of atoms): -33.0


DFT (PBE) results for crystalline Ba6HgP2N at its relaxed geometry.

Cell: 7.8402 8.4428 13.0192 Å, 90.00 121.37 90.00°
Space group P2_1/c (No. 14)
Inequivalent atoms, fractional coordinates:
Ba 0.0493 0.0713 0.2191 (multiplicity 4)
Ba 0.2347 0.7046 0.0944 (multiplicity 4)
Ba 0.3511 0.1580 0.0638 (multiplicity 4)
Hg 0.5000 0.0000 0.5000 (multiplicity 2)
P 0.3250 0.1125 0.7742 (multiplicity 4)
N 0.0000 0.0000 0.0000 (multiplicity 2)

Energy (eV/cell): -74.295
Raw formation energy (kJ/mol of atoms): -59.5


DFT (PBE) results for crystalline Ba6HgPb2N at its relaxed geometry.

Cell: 8.2305 11.8172 9.0323 Å, 90.00 90.00 90.00°
Space group Pmmn (No. 59, origin choice 2)
Inequivalent atoms, fractional coordinates:
Ba 0.0029 0.2500 0.0963 (multiplicity 4)
Ba 0.0264 0.7500 0.4745 (multiplicity 4)
Ba 0.2500 0.5209 0.7031 (multiplicity 4)
Hg 0.2500 0.2500 0.8038 (multiplicity 2)
Pb 0.2500 0.0206 0.2949 (multiplicity 4)
N 0.2500 0.7500 0.7113 (multiplicity 2)

Energy (eV/cell): -62.260
Raw formation energy (kJ/mol of atoms): -34.3


DFT (PBE) results for crystalline Ba6Hg2PdN at its relaxed geometry.

Cell: 8.0085 8.4800 13.9269 Å, 90.00 123.87 90.00°
Space group P2_1/c (No. 14)
Inequivalent atoms, fractional coordinates:
Ba 0.1366 0.0185 0.2332 (multiplicity 4)
Ba 0.2208 0.7112 0.0463 (multiplicity 4)
Ba 0.3373 0.1799 0.0471 (multiplicity 4)
Hg 0.2823 0.0822 0.7507 (multiplicity 4)
Pd 0.5000 0.0000 0.5000 (multiplicity 2)
N 0.0000 0.0000 0.0000 (multiplicity 2)

Energy (eV/cell): -59.440
Raw formation energy (kJ/mol of atoms): -39.2


DFT (PBE) results for crystalline Ba2HgPdN at its relaxed geometry.

Cell: 5.8445 5.8445 3.9977 Å, 90.00 90.00 90.00°
Space group P4/mmm (No. 123)
Inequivalent atoms, fractional coordinates:
Ba 0.0000 0.5000 0.0000 (multiplicity 2)
Hg 0.0000 0.0000 0.5000 (multiplicity 1)
Pd 0.5000 0.5000 0.5000 (multiplicity 1)
N 0.5000 0.5000 0.0000 (multiplicity 1)

Energy (eV/cell): -19.711
Raw formation energy (kJ/mol of atoms): -39.5


DFT (PBE) results for crystalline Ba2HgPtN at its relaxed geometry.

Cell: 5.9457 5.9457 3.8824 Å, 90.00 90.00 90.00°
Space group P4/mmm (No. 123)
Inequivalent atoms, fractional coordinates:
Ba 0.0000 0.5000 0.0000 (multiplicity 2)
Hg 0.0000 0.0000 0.5000 (multiplicity 1)
Pt 0.5000 0.5000 0.5000 (multiplicity 1)
N 0.5000 0.5000 0.0000 (multiplicity 1)

Energy (eV/cell): -21.169
Raw formation energy (kJ/mol of atoms): -51.2


DFT (PBE) results for crystalline BaHgS2N at its relaxed geometry.

Cell: 5.2632 5.2632 4.3389 Å, 90.00 90.00 90.00°
Space group P4/mmm (No. 123)
Inequivalent atoms, fractional coordinates:
Ba 0.0000 0.0000 0.0000 (multiplicity 1)
Hg 0.5000 0.5000 0.5000 (multiplicity 1)
S 0.0000 0.5000 0.5000 (multiplicity 2)
N 0.5000 0.5000 0.0000 (multiplicity 1)

Energy (eV/cell): -18.395
E above lowest polymorph (meV per atom): 0
Raw formation energy (kJ/mol of atoms): 7.9


DFT (PBE) results for crystalline BaHgSN2 at its relaxed geometry.

Cell: 5.3451 5.3451 6.2429 Å, 90.00 90.00 90.00°
Space group P4/mmm (No. 123)
Inequivalent atoms, fractional coordinates:
Ba 0.0000 0.0000 0.0000 (multiplicity 1)
Hg 0.5000 0.5000 0.5000 (multiplicity 1)
S 0.0000 0.0000 0.5000 (multiplicity 1)
N 0.0000 0.5000 0.0000 (multiplicity 2)

Energy (eV/cell): -15.872
E above lowest polymorph (meV per atom): 635
Raw formation energy (kJ/mol of atoms): 137.6


DFT (PBE) results for crystalline Ba6Hg2SN at its relaxed geometry.

Cell: 8.0101 8.4112 14.0155 Å, 90.00 124.58 90.00°
Space group P2_1/c (No. 14)
Inequivalent atoms, fractional coordinates:
Ba 0.1436 0.0218 0.2346 (multiplicity 4)
Ba 0.2269 0.7170 0.0460 (multiplicity 4)
Ba 0.3344 0.1874 0.0456 (multiplicity 4)
Hg 0.2757 0.0714 0.7491 (multiplicity 4)
S 0.5000 0.0000 0.5000 (multiplicity 2)
N 0.0000 0.0000 0.0000 (multiplicity 2)

Energy (eV/cell): -63.112
Raw formation energy (kJ/mol of atoms): -67.2


DFT (PBE) results for crystalline BaHgSN2 at its relaxed geometry.

Cell: 4.5280 4.5280 5.2280 Å, 90.00 90.00 90.00°
Space group P4/mmm (No. 123)
Inequivalent atoms, fractional coordinates:
Ba 0.0000 0.0000 0.0000 (multiplicity 1)
Hg 0.5000 0.5000 0.5000 (multiplicity 1)
S 0.5000 0.5000 0.0000 (multiplicity 1)
N 0.0000 0.5000 0.5000 (multiplicity 2)

Energy (eV/cell): -19.045
E above lowest polymorph (meV per atom): 0
Raw formation energy (kJ/mol of atoms): 76.4


DFT (PBE) results for crystalline BaHgS2N at its relaxed geometry.

Cell: 6.2570 6.2570 5.0233 Å, 90.00 90.00 90.00°
Space group P4/mmm (No. 123)
Inequivalent atoms, fractional coordinates:
Ba 0.0000 0.0000 0.0000 (multiplicity 1)
Hg 0.5000 0.5000 0.5000 (multiplicity 1)
S 0.0000 0.5000 0.0000 (multiplicity 2)
N 0.0000 0.0000 0.5000 (multiplicity 1)

Energy (eV/cell): -13.385
E above lowest polymorph (meV per atom): 1002
Raw formation energy (kJ/mol of atoms): 104.6


DFT (PBE) results for crystalline BaHgSeN2 at its relaxed geometry.

Cell: 5.2474 5.2474 6.6296 Å, 90.00 90.00 90.00°
Space group P4/mmm (No. 123)
Inequivalent atoms, fractional coordinates:
Ba 0.0000 0.0000 0.0000 (multiplicity 1)
Hg 0.5000 0.5000 0.5000 (multiplicity 1)
Se 0.0000 0.0000 0.5000 (multiplicity 1)
N 0.0000 0.5000 0.0000 (multiplicity 2)

Energy (eV/cell): -15.617
E above lowest polymorph (meV per atom): 523
Raw formation energy (kJ/mol of atoms): 130.1


DFT (PBE) results for crystalline BaHgSeN2 at its relaxed geometry.

Cell: 4.5997 4.5997 5.4258 Å, 90.00 90.00 90.00°
Space group P4/mmm (No. 123)
Inequivalent atoms, fractional coordinates:
Ba 0.0000 0.0000 0.0000 (multiplicity 1)
Hg 0.5000 0.5000 0.5000 (multiplicity 1)
Se 0.5000 0.5000 0.0000 (multiplicity 1)
N 0.0000 0.5000 0.5000 (multiplicity 2)

Energy (eV/cell): -18.230
E above lowest polymorph (meV per atom): 0
Raw formation energy (kJ/mol of atoms): 79.7


DFT (PBE) results for crystalline Ba2TcHgN at its relaxed geometry.

Cell: 5.8808 5.8808 3.9078 Å, 90.00 90.00 90.00°
Space group P4/mmm (No. 123)
Inequivalent atoms, fractional coordinates:
Ba 0.0000 0.5000 0.0000 (multiplicity 2)
Tc 0.0000 0.0000 0.5000 (multiplicity 1)
Hg 0.5000 0.5000 0.5000 (multiplicity 1)
N 0.0000 0.0000 0.0000 (multiplicity 1)

Energy (eV/cell): -24.181
Raw formation energy (kJ/mol of atoms): -25.9


DFT (PBE) results for crystalline Ba6Tl2HgN at its relaxed geometry.

Cell: 8.0161 9.0236 13.8123 Å, 90.00 122.08 90.00°
Space group P2_1/c (No. 14)
Inequivalent atoms, fractional coordinates:
Ba 0.1072 0.0323 0.2225 (multiplicity 4)
Ba 0.1973 0.7193 0.0549 (multiplicity 4)
Ba 0.3475 0.1555 0.0531 (multiplicity 4)
Tl 0.2915 0.0985 0.7454 (multiplicity 4)
Hg 0.5000 0.0000 0.5000 (multiplicity 2)
N 0.0000 0.0000 0.0000 (multiplicity 2)

Energy (eV/cell): -56.676
Raw formation energy (kJ/mol of atoms): -33.2


DFT (PBE) results for crystalline BaY2HgN at its relaxed geometry.

Cell: 4.8445 4.8445 5.6180 Å, 90.00 90.00 90.00°
Space group P4/mmm (No. 123)
Inequivalent atoms, fractional coordinates:
Ba 0.0000 0.0000 0.0000 (multiplicity 1)
Y 0.0000 0.5000 0.5000 (multiplicity 2)
Hg 0.5000 0.5000 0.0000 (multiplicity 1)
N 0.0000 0.0000 0.5000 (multiplicity 1)

Energy (eV/cell): -26.437
Raw formation energy (kJ/mol of atoms): -57.1


DFT (PBE) results for crystalline Ba4NaHg2 at its relaxed geometry.

Cell: 6.0674 6.0674 29.0421 Å, 90.00 90.00 120.00°
Space group R-3m (No. 166, hexagonal axes)
Inequivalent atoms, fractional coordinates:
Ba 0.0000 0.0000 0.1182 (multiplicity 6)
Ba 0.0000 0.0000 0.3698 (multiplicity 6)
Na 0.0000 0.0000 0.5000 (multiplicity 3)
Hg 0.0000 0.0000 0.2468 (multiplicity 6)

Energy (eV/cell): -33.888
E above lowest polymorph (meV per atom): 0


DFT (PBE) results for crystalline Ba2Na6Hg at its relaxed geometry.

Cell: 4.2219 5.4659 32.3029 Å, 90.00 90.00 90.00°
Space group Amm2 (No. 38)
Inequivalent atoms, fractional coordinates:
Ba 0.0000 0.0000 0.0000 (multiplicity 2)
Ba 0.0000 0.0000 0.3165 (multiplicity 2)
Na 0.0000 0.0000 0.6138 (multiplicity 2)
Na 0.0000 0.0000 0.7283 (multiplicity 2)
Na 0.5000 0.0000 0.0988 (multiplicity 2)
Na 0.5000 0.0000 0.2033 (multiplicity 2)
Na 0.5000 0.0000 0.4344 (multiplicity 2)
Na 0.5000 0.0000 0.8771 (multiplicity 2)
Hg 0.5000 0.0000 0.5366 (multiplicity 2)

Energy (eV/cell): -24.994


DFT (PBE) results for crystalline BaNa2Hg2 at its relaxed geometry.

Cell: 4.7078 4.7078 14.9651 Å, 90.00 90.00 90.00°
Space group I4/mmm (No. 139)
Inequivalent atoms, fractional coordinates:
Ba 0.0000 0.0000 0.0000 (multiplicity 2)
Na 0.0000 0.5000 0.2500 (multiplicity 4)
Hg 0.0000 0.0000 0.3951 (multiplicity 4)

Energy (eV/cell): -13.445
E above lowest polymorph (meV per atom): 0


DFT (PBE) results for crystalline Ba3NaHg3 at its relaxed geometry.

Cell: 4.8006 12.7050 17.6756 Å, 90.00 90.00 90.00°
Space group Cmcm (No. 63)
Inequivalent atoms, fractional coordinates:
Ba 0.0000 0.0418 0.2500 (multiplicity 4)
Ba 0.0000 0.3065 0.1029 (multiplicity 8)
Na 0.0000 0.0000 0.0000 (multiplicity 4)
Hg 0.0000 0.2394 0.7500 (multiplicity 4)
Hg 0.0000 0.4038 0.5958 (multiplicity 8)

Energy (eV/cell): -43.405